# PBE-GGA RbGa2PdCl8, optimized geometry
data_RbGa2PdCl8
_chemical_formula_sum 'Rb2 Ga4 Pd2 Cl16'
_cell_length_a 13.615
_cell_length_b 6.834
_cell_length_c 8.761
_cell_angle_alpha 90.00
_cell_angle_beta 115.26
_cell_angle_gamma 90.00
_symmetry_space_group_name_H-M 'C 1 2/m 1'
_symmetry_Int_Tables_number 12
_symmetry_space_group_name_Hall '-C 2y'
loop_
_atom_site_label
_atom_site_type_symbol
_atom_site_fract_x
_atom_site_fract_y
_atom_site_fract_z
Rb1 Rb 0.000 0.000 0.000
Ga1 Ga 0.191 0.000 0.665
Pd1 Pd 0.000 0.500 0.500
Cl1 Cl 0.107 0.254 0.721
Cl2 Cl 0.140 0.500 0.146
Cl3 Cl 0.178 0.000 0.409
# Formation energy (no corrections) ... -1.109 eV/atom